Record 1
Below is SmYCdTc after structural relaxation, with properties calculated at the PBE-GGA level.

Cell and atoms, written as POSCAR:
```
SmYCdTc
1.0
0.0000 3.6042 3.6042
3.6042 0.0000 3.6042
3.6042 3.6042 0.0000
Sm Y Cd Tc
1 1 1 1
Direct
0.0000 0.0000 0.0000
0.5000 0.5000 0.5000
0.7500 0.7500 0.7500
0.2500 0.2500 0.2500
```

The formation enthalpy at 0 K comes out at -0.0546 eV/atom. The calculation puts the raw total energy at -5.671 eV per atom. Its space-group type is No. 216.

Record 2
Below is YCdAg2H after structural relaxation, with properties calculated at the PBE-GGA level.

Cell and atoms, written as POSCAR:
```
YCdAg2H
1.0
4.7014 0.0000 0.0000
0.0000 4.7014 0.0000
0.0000 0.0000 4.1648
Y Cd Ag H
1 1 2 1
Direct
0.0000 0.0000 0.0000
0.5000 0.5000 0.0000
0.0000 0.5000 0.5000
0.5000 0.0000 0.5000
0.0000 0.0000 0.5000
```

The calculation puts the raw total energy at -3.417 eV per atom. Its space-group type is No. 123.

Record 3
Below is Be2ReMo after structural relaxation, with properties calculated at the PBE-GGA level.

Cell and atoms, written as POSCAR:
```
Be2ReMo
1.0
-1.6338 2.0557 3.6360
1.6338 -2.0557 3.6360
1.6338 2.0557 -3.6360
Be Re Mo
2 1 1
Direct
0.2483 0.2483 0.0000
0.7517 0.7517 0.0000
0.0000 0.5000 0.5000
0.5000 0.0000 0.5000
```

The formation enthalpy at 0 K comes out at 0.1068 eV/atom. The calculation puts the raw total energy at -7.576 eV per atom. Its space-group type is No. 71. The value obtained for the offset from the most stable computed form is 348 meV/atom.

Record 4
Below is Be2Cr2Pd after structural relaxation, with properties calculated at the PBE-GGA level.

Cell and atoms, written as POSCAR:
```
Be2Cr2Pd
1.0
5.7842 0.0000 0.0000
0.0000 5.7842 0.0000
0.0000 0.0000 3.2758
Be Cr Pd
4 4 2
Direct
0.1335 0.3665 0.0000
0.3665 0.8665 0.0000
0.6335 0.1335 0.0000
0.8665 0.6335 0.0000
0.1521 0.6521 0.5000
0.3479 0.1521 0.5000
0.6521 0.8479 0.5000
0.8479 0.3479 0.5000
0.0000 0.0000 0.0000
0.5000 0.5000 0.0000
```

The formation enthalpy at 0 K comes out at 0.0604 eV/atom. The calculation puts the raw total energy at -6.318 eV per atom. Its space-group type is No. 127.

Record 5
Below is PmPO4 after structural relaxation, with properties calculated at the PBE-GGA level.

Cell and atoms, written as POSCAR:
```
PmPO4
1.0
-3.5647 3.5647 3.1000
3.5647 -3.5647 3.1000
3.5647 3.5647 -3.1000
Pm P O
2 2 8
Direct
0.3750 0.6250 0.7500
0.6250 0.3750 0.2500
0.1250 0.8750 0.2500
0.8750 0.1250 0.7500
0.1412 0.7197 0.4215
0.2019 0.2803 0.9215
0.2803 0.2019 0.4215
0.2803 0.8588 0.0785
0.7197 0.1412 0.9215
0.7197 0.7981 0.5785
0.7981 0.7197 0.0785
0.8588 0.2803 0.5785
```

For the raw formation energy, the calculation gives -2998 meV per atom. The calculation puts the raw total energy at -7.997 eV per atom. Its space-group type is No. 141.

Record 6
Below is Ca5Tl after structural relaxation, with properties calculated at the PBE-GGA level.

Cell and atoms, written as POSCAR:
```
Ca5Tl
1.0
6.8039 -2.0212 0.0000
6.8039 2.0212 0.0000
-2.8555 0.0000 8.1679
Ca Tl
5 1
Direct
0.0000 0.0000 0.0000
0.0237 0.0237 0.4412
0.3067 0.3067 0.1575
0.3310 0.3310 0.5992
0.6653 0.6653 0.7991
0.6654 0.6654 0.2999
```

The formation enthalpy at 0 K comes out at -0.1416 eV/atom. The calculation puts the raw total energy at -2.204 eV per atom. Its space-group type is No. 8. The value obtained for the offset from the most stable computed form is 7 meV/atom.

Record 7
Below is Dy5Y5Ho after structural relaxation, with properties calculated at the PBE-GGA level.

Cell and atoms, written as POSCAR:
```
Dy5Y5Ho
1.0
6.0811 0.0000 0.0000
-3.0406 5.2664 0.0000
0.0000 0.0000 11.4547
Dy Y Ho
5 5 1
Direct
0.0000 0.0000 0.2349
0.0000 0.0000 0.7651
0.3368 0.1684 0.0000
0.8316 0.1684 0.0000
0.8316 0.6632 0.0000
0.0000 0.0000 0.5000
0.3333 0.6667 0.1814
0.3333 0.6667 0.8186
0.6667 0.3333 0.3408
0.6667 0.3333 0.6592
0.3333 0.6667 0.5000
```

The formation enthalpy at 0 K comes out at 0.3084 eV/atom. The calculation puts the raw total energy at -5.138 eV per atom. Its space-group type is No. 187. The value obtained for the offset from the most stable computed form is 163 meV/atom.

Record 8
Below is Cs2CuHBr6 after structural relaxation, with properties calculated at the PBE-GGA level.

Cell and atoms, written as POSCAR:
```
Cs2CuHBr6
1.0
-3.5836 3.5836 5.9734
3.5836 -3.5836 5.9734
3.5836 3.5836 -5.9734
Cs Cu H Br
2 1 1 6
Direct
0.2500 0.7500 0.5000
0.7500 0.2500 0.5000
0.0000 0.0000 0.0000
0.5000 0.5000 0.0000
0.1975 0.1975 0.0000
0.2712 0.2712 0.5424
0.2712 0.7288 0.0000
0.7288 0.2712 0.0000
0.7288 0.7288 0.4576
0.8025 0.8025 0.0000
```

The calculation puts the raw total energy at -2.549 eV per atom. Its space-group type is No. 139.

Record 9
Below is Ce5HoRh4 after structural relaxation, with properties calculated at the PBE-GGA level.

Cell and atoms, written as POSCAR:
```
Ce5HoRh4
1.0
8.2693 -2.0868 0.0000
8.2693 2.0868 0.0000
-1.9547 0.0000 7.2652
Ce Ho Rh
5 1 4
Direct
0.0000 0.0000 0.0000
0.3107 0.3107 0.1014
0.3389 0.3389 0.6303
0.6611 0.6611 0.3697
0.6893 0.6893 0.8986
0.0000 0.0000 0.5000
0.1792 0.1792 0.6449
0.4886 0.4886 0.2329
0.5114 0.5114 0.7671
0.8208 0.8208 0.3551
```

The formation enthalpy at 0 K comes out at -0.5253 eV/atom. The calculation puts the raw total energy at -6.891 eV per atom. Its space-group type is No. 12.

Record 10
Below is LiPr2Te2 after structural relaxation, with properties calculated at the PBE-GGA level.

Cell and atoms, written as POSCAR:
```
LiPr2Te2
1.0
2.2725 -7.7442 0.0000
2.2725 7.7442 0.0000
0.0000 0.0000 8.3461
Li Pr Te
2 4 4
Direct
0.0914 0.9086 0.5000
0.9086 0.0914 0.0000
0.2782 0.7218 0.7259
0.4581 0.5419 0.3853
0.5419 0.4581 0.8853
0.7218 0.2782 0.2259
0.0713 0.9287 0.1657
0.3435 0.6565 0.0799
0.6565 0.3435 0.5799
0.9287 0.0713 0.6657
```

For the raw formation energy, the calculation gives -1043 meV per atom. The calculation puts the raw total energy at -4.594 eV per atom. Its space-group type is No. 36.

Record 11
Below is SrHf3I after structural relaxation, with properties calculated at the PBE-GGA level.

Cell and atoms, written as POSCAR:
```
SrHf3I
1.0
5.3428 0.0000 0.0000
0.0000 5.3428 0.0000
0.0000 0.0000 5.3428
Sr Hf I
1 3 1
Direct
0.0000 0.0000 0.0000
0.0000 0.0000 0.5000
0.0000 0.5000 0.0000
0.5000 0.0000 0.0000
0.5000 0.5000 0.5000
```

For the raw formation energy, the calculation gives 2089 meV per atom. The calculation puts the raw total energy at -4.530 eV per atom. Its space-group type is No. 221. The value obtained for the offset from the most stable computed form is 1166 meV/atom.

Record 12
Below is PuHBr3 after structural relaxation, with properties calculated at the PBE-GGA level.

Cell and atoms, written as POSCAR:
```
PuHBr3
1.0
7.5388 0.0000 0.0000
0.0000 7.3982 0.0000
-4.6243 0.0000 12.8952
Pu H Br
4 4 12
Direct
0.0004 0.2505 0.0873
0.9996 0.2505 0.4127
0.0004 0.7495 0.5873
0.9996 0.7495 0.9127
0.0528 0.2419 0.7621
0.0528 0.7581 0.2621
0.9472 0.2419 0.7379
0.9472 0.7581 0.2379
0.2379 0.0613 0.0002
0.2379 0.9387 0.5002
0.2400 0.4386 0.5876
0.2400 0.5614 0.0876
0.2587 0.2514 0.2982
0.2587 0.7486 0.7982
0.7413 0.2514 0.2018
0.7413 0.7486 0.7018
0.7600 0.4386 0.9124
0.7600 0.5614 0.4124
0.7621 0.0613 0.4998
0.7621 0.9387 0.9998
```

The calculation puts the raw total energy at -5.739 eV per atom. Its space-group type is No. 13. The value obtained for the offset from the most stable computed form is 0 meV/atom.

Record 13
Below is TlNi2P after structural relaxation, with properties calculated at the PBE-GGA level.

Cell and atoms, written as POSCAR:
```
TlNi2P
1.0
3.5979 0.0000 0.0000
0.0000 3.5940 0.0000
-0.1681 0.0000 5.7878
Tl Ni P
1 2 1
Direct
0.0000 0.0000 0.0000
0.0195 0.5000 0.3807
0.5187 0.0000 0.3803
0.5293 0.5000 0.5895
```

The formation enthalpy at 0 K comes out at -0.0347 eV/atom. The calculation puts the raw total energy at -4.869 eV per atom. Its space-group type is No. 6.

Record 14
Below is AlTlIn2Cl6 after structural relaxation, with properties calculated at the PBE-GGA level.

Cell and atoms, written as POSCAR:
```
AlTlIn2Cl6
1.0
6.8800 0.0000 0.0000
0.0000 8.2729 0.0000
-6.2466 0.0000 10.5087
Al Tl In Cl
2 2 4 12
Direct
0.0000 0.0000 0.0000
0.0000 0.5000 0.5000
0.5000 0.0000 0.5000
0.5000 0.5000 0.0000
0.3017 0.0644 0.7691
0.3017 0.4356 0.2691
0.6983 0.5644 0.7309
0.6983 0.9356 0.2309
0.1122 0.0656 0.2117
0.1122 0.4344 0.7117
0.2243 0.7339 0.5699
0.2243 0.7661 0.0699
0.3093 0.1498 0.0188
0.3093 0.3502 0.5188
0.6907 0.6498 0.4812
0.6907 0.8502 0.9812
0.7757 0.2339 0.9301
0.7757 0.2661 0.4301
0.8878 0.5656 0.2883
0.8878 0.9344 0.7883
```

For the raw formation energy, the calculation gives -1132 meV per atom. The calculation puts the raw total energy at -3.399 eV per atom. Its space-group type is No. 14.

Record 15
Below is Ho4InGa2 after structural relaxation, with properties calculated at the PBE-GGA level.

Cell and atoms, written as POSCAR:
```
Ho4InGa2
1.0
2.4971 1.4417 8.9529
-2.4971 1.4417 8.9529
0.0000 -2.8834 8.9529
Ho In Ga
4 1 2
Direct
0.1183 0.1183 0.1183
0.2943 0.2943 0.2943
0.7057 0.7057 0.7057
0.8817 0.8817 0.8817
0.5000 0.5000 0.5000
0.4006 0.4006 0.4006
0.5994 0.5994 0.5994
```

The formation enthalpy at 0 K comes out at -0.2699 eV/atom. The calculation puts the raw total energy at -4.142 eV per atom. Its space-group type is No. 166.

Record 16
Below is OsRh4Se after structural relaxation, with properties calculated at the PBE-GGA level.

Cell and atoms, written as POSCAR:
```
OsRh4Se
1.0
0.0000 3.6168 3.6168
3.6168 0.0000 3.6168
3.6168 3.6168 0.0000
Os Rh Se
1 4 1
Direct
0.0000 0.0000 0.0000
0.1232 0.6256 0.6256
0.6256 0.1232 0.6256
0.6256 0.6256 0.1232
0.6256 0.6256 0.6256
0.2500 0.2500 0.2500
```

For the raw formation energy, the calculation gives 787 meV per atom. The calculation puts the raw total energy at -6.566 eV per atom. Its space-group type is No. 216.

Record 17
Below is MgCo2Sb after structural relaxation, with properties calculated at the PBE-GGA level.

Cell and atoms, written as POSCAR:
```
MgCo2Sb
1.0
3.9178 0.0000 0.0000
0.0000 1.8123 4.5386
0.0000 -1.8123 4.5386
Mg Co Sb
1 2 1
Direct
0.0000 0.0000 0.0000
0.0000 0.2876 0.2876
0.5000 0.4217 0.4217
0.5000 0.7090 0.7090
```

For the raw formation energy, the calculation gives 74 meV per atom. The calculation puts the raw total energy at -4.908 eV per atom. Its space-group type is No. 38.

Record 18
Below is Ho2GaH after structural relaxation, with properties calculated at the PBE-GGA level.

Cell and atoms, written as POSCAR:
```
Ho2GaH
1.0
-1.8078 3.1877 7.0488
1.8078 -3.1877 7.0488
1.8078 3.1877 -7.0488
Ho Ga H
4 2 2
Direct
0.1959 0.1959 0.0000
0.2501 0.5000 0.7501
0.7499 0.5000 0.2499
0.8041 0.8041 0.0000
0.3612 0.8612 0.5000
0.6388 0.1388 0.5000
0.1061 0.6061 0.5000
0.8939 0.3939 0.5000
```

The calculation puts the raw total energy at -4.393 eV per atom. Its space-group type is No. 71. The value obtained for the offset from the most stable computed form is 0 meV/atom.

Record 19
Below is La3Tb2Sm6Dy after structural relaxation, with properties calculated at the PBE-GGA level.

Cell and atoms, written as POSCAR:
```
La3Tb2Sm6Dy
1.0
3.1530 -5.4662 0.0000
3.1530 5.4662 0.0000
-2.1140 0.0000 11.8958
La Tb Sm Dy
3 2 6 1
Direct
0.0000 0.0000 0.0000
0.3334 0.6666 0.0000
0.6666 0.3334 0.0000
0.1667 0.8333 0.5000
0.8333 0.1667 0.5000
0.0855 0.4187 0.2556
0.2481 0.2481 0.7443
0.4187 0.0855 0.2556
0.5813 0.9145 0.7444
0.7519 0.7519 0.2557
0.9145 0.5813 0.7444
0.5000 0.5000 0.5000
```

The formation enthalpy at 0 K comes out at 0.0201 eV/atom. The calculation puts the raw total energy at -4.727 eV per atom. Its space-group type is No. 12.

Record 20
Below is As2PbAu after structural relaxation, with properties calculated at the PBE-GGA level.

Cell and atoms, written as POSCAR:
```
As2PbAu
1.0
2.1638 -2.6899 0.0000
2.1638 2.6899 0.0000
0.0000 0.0000 7.8297
As Pb Au
2 1 1
Direct
0.0000 0.0000 0.2031
0.0000 0.0000 0.7969
0.5000 0.5000 0.5000
0.5000 0.5000 0.0000
```

The formation enthalpy at 0 K comes out at 0.2558 eV/atom. The calculation puts the raw total energy at -3.815 eV per atom. Its space-group type is No. 65.